First-principles (PBE) data for an optimized crystal structure of CuAs2Ir, as listed in the Alexandria database.

Cell: 2.838 2.838 9.666 Å, 90.00 90.00 119.90°
Fractional coordinates of all 4 atoms:
As: 0.000 0.000 0.955
As: 0.500 0.500 0.297
Cu: 0.000 0.000 0.511
Ir: 0.500 0.500 0.737

Output
**Offset from the most stable computed form**: 0.1920 eV per atom
**Total magnetization**: 0.000 μB per cell
**Symmetry**: No. 35
**ρ**: 10.0 Mg/m³
**Calculated total energy**: -5.320 eV/atom
**Energy relative to the elements**: 5.62 kcal/mol of atoms



First-principles (PBE) data for an optimized crystal structure of Co3Cu, as listed in the Alexandria database.

Cell: 4.712 4.712 4.712 Å, 117.11 117.11 117.11°
Fractional coordinates of all 4 atoms:
Co: 0.000 0.000 0.000
Co: 0.000 0.500 0.500
Co: 0.500 0.500 0.000
Cu: 0.500 0.000 0.500

Output
**Total magnetization**: 5.170 μB per cell
**Symmetry**: No. 166
**ρ**: 8.8 Mg/m³
**Calculated total energy**: -6.182 eV/atom
**Energy relative to the elements**: 3.96 kcal/mol of atoms



First-principles (PBE) data for an optimized crystal structure of ThSc2Co, as listed in the Alexandria database.

Cell: 3.539 5.935 8.988 Å, 90.00 90.00 107.33°
Fractional coordinates of all 8 atoms:
Th: 0.921 0.843 0.250
Th: 0.079 0.157 0.750
Sc: 0.356 0.713 0.571
Sc: 0.644 0.287 0.429
Sc: 0.356 0.713 0.929
Sc: 0.644 0.287 0.071
Co: 0.754 0.508 0.750
Co: 0.246 0.492 0.250

Output
**Offset from the most stable computed form**: 0.0177 eV per atom
**Total magnetization**: 0.000 μB per cell
**Symmetry**: No. 63
**ρ**: 7.0 Mg/m³
**Calculated total energy**: -7.008 eV/atom
**Energy relative to the elements**: -4.87 kcal/mol of atoms



First-principles (PBE) data for an optimized crystal structure of NaYTa3, as listed in the Alexandria database.

Cell: 4.830 4.830 4.830 Å, 90.00 90.00 90.00°
Fractional coordinates of all 5 atoms:
Y: 0.500 0.500 0.500
Na: 0.000 0.000 0.000
Ta: 0.000 0.500 0.000
Ta: 0.000 0.000 0.500
Ta: 0.500 0.000 0.000

Output
**Offset from the most stable computed form**: 0.0000 eV per atom
**Total magnetization**: 0.000 μB per cell
**Symmetry**: No. 221
**ρ**: 9.6 Mg/m³
**Calculated total energy**: -6.692 eV/atom
**Energy relative to the elements**: 45.57 kcal/mol of atoms



First-principles (PBE) data for an optimized crystal structure of ErU2S3O2, as listed in the Alexandria database.

Cell: 10.886 10.886 10.886 Å, 159.91 159.91 28.56°
Fractional coordinates of all 8 atoms:
Er: 0.500 0.500 0.000
U: 0.814 0.814 0.000
U: 0.186 0.186 0.000
S: 0.628 0.628 0.000
S: 0.000 0.000 0.000
S: 0.372 0.372 0.000
O: 0.250 0.750 0.500
O: 0.750 0.250 0.500

Output
**Total magnetization**: 4.820 μB per cell
**Symmetry**: No. 139
**ρ**: 8.4 Mg/m³
**Calculated total energy**: -8.505 eV/atom
**Uncorrected formation energy**: -2.33 eV/atom



First-principles (PBE) data for an optimized crystal structure of LaCdAu3, as listed in the Alexandria database.

Cell: 5.137 5.137 5.137 Å, 90.00 90.00 90.00°
Fractional coordinates of all 5 atoms:
Cd: 0.000 0.000 0.000
Au: 0.000 0.500 0.000
Au: 0.000 0.000 0.500
Au: 0.500 0.000 0.000
La: 0.500 0.500 0.500

Output
**Offset from the most stable computed form**: 0.4691 eV per atom
**Total magnetization**: 0.000 μB per cell
**Symmetry**: No. 221
**ρ**: 10.3 Mg/m³
**Calculated total energy**: -3.215 eV/atom
**Energy relative to the elements**: -1.86 kcal/mol of atoms



First-principles (PBE) data for an optimized crystal structure of AcTePd3, as listed in the Alexandria database.

Cell: 4.458 4.458 6.505 Å, 110.04 110.04 90.00°
Fractional coordinates of all 5 atoms:
Ac: 0.995 0.995 0.989
Te: 0.642 0.642 0.285
Pd: 0.270 0.770 0.540
Pd: 0.770 0.270 0.540
Pd: 0.413 0.413 0.826

Output
**Offset from the most stable computed form**: 0.0000 eV per atom
**Total magnetization**: 0.000 μB per cell
**Symmetry**: No. 107
**ρ**: 9.9 Mg/m³
**Calculated total energy**: -5.315 eV/atom
**Uncorrected formation energy**: -0.75 eV/atom



First-principles (PBE) data for an optimized crystal structure of AcReP2, as listed in the Alexandria database.

Cell: 3.226 3.226 7.095 Å, 90.00 90.00 90.00°
Fractional coordinates of all 4 atoms:
Re: 0.500 0.500 0.000
Ac: 0.500 0.500 0.500
P: 0.000 0.000 0.812
P: 0.000 0.000 0.188

Output
**Offset from the most stable computed form**: 0.5737 eV per atom
**Total magnetization**: 0.000 μB per cell
**Symmetry**: No. 123
**ρ**: 10.7 Mg/m³
**Calculated total energy**: -6.969 eV/atom
**Energy relative to the elements**: -2.88 kcal/mol of atoms